P | Material: Li9CaAg2
Method: DFT, PBE
State: relaxed

Structure (POSCAR):
```
Li9CaAg2
1.0
6.7821 0.0000 3.1224
3.3910 8.0475 1.5612
0.0257 0.0000 8.8712
Li Ca Ag
18 2 4
direct
0.7500 0.5000 0.5000
0.0000 0.0000 0.0000
0.0146 0.9207 0.6769
0.6122 0.0793 0.3231
0.6853 0.1769 0.5793
0.4415 0.8231 0.4207
0.7354 0.8231 0.5793
0.1378 0.1769 0.4207
0.0647 0.9207 0.3231
0.3085 0.0793 0.6769
0.7354 0.5793 0.8231
0.1378 0.4207 0.1769
0.0647 0.3231 0.9207
0.3085 0.6769 0.0793
0.0146 0.6769 0.9207
0.6122 0.3231 0.0793
0.6853 0.5793 0.1769
0.4415 0.4207 0.8231
0.5000 0.0000 0.0000
0.2500 0.5000 0.5000
0.8750 0.2500 0.7500
0.8750 0.7500 0.2500
0.8750 0.2500 0.2500
0.3750 0.7500 0.7500
```


Q | Material: Li9CaAg2
Method: DFT, PBE
State: relaxed

Structure (POSCAR):
```
Li9CaAg2
1.0
-2.5010 1.3953 1.5458
-4.6063 0.8087 -8.1826
-1.0677 -7.7449 5.2634
Li Ca Ag
9 1 2
direct
0.5000 0.8060 0.1940
0.0000 0.0000 0.5000
0.0000 0.5000 0.5000
0.5000 0.8060 0.6121
0.5000 0.1940 0.8060
0.5000 0.6121 0.8060
0.5000 0.1940 0.3879
0.0000 0.5000 0.0000
0.5000 0.3879 0.1940
0.0000 0.0000 0.0000
0.0000 0.6667 0.3333
0.0000 0.3333 0.6667
```


Verdict on stability: Q comes out at the bottom.


P | Material: Li2Ca3Ag
Method: DFT, PBE
State: relaxed

Structure (POSCAR):
```
Li2Ca3Ag
1.0
3.8530 0.0000 0.0000
0.0000 3.8530 0.0000
0.0000 0.0000 11.7312
Li Ca Ag
2 3 1
direct
0.5000 0.5000 0.8270
0.5000 0.5000 0.1730
0.0000 0.0000 0.0000
0.0000 0.0000 0.6512
0.0000 0.0000 0.3488
0.5000 0.5000 0.5000
```


Q | Material: Li2Ca3Ag
Method: DFT, PBE
State: relaxed

Structure (POSCAR):
```
Li2Ca3Ag
1.0
5.4046 0.0000 0.0219
2.7023 8.1316 0.0109
-0.0319 0.0000 7.8570
Li Ca Ag
4 6 2
direct
0.0000 0.0000 0.0000
0.0000 0.0000 0.5000
0.3343 0.3313 0.5000
0.6657 0.6687 0.5000
0.8287 0.3427 0.7675
0.5000 0.0000 0.2403
0.1713 0.6573 0.2325
0.8286 0.3427 0.2325
0.1714 0.6573 0.7675
0.5000 0.0000 0.7597
0.3422 0.3157 0.0000
0.6578 0.6843 0.0000
```


Verdict on stability: P comes out at the bottom.


P | Material: LiCaAg
Method: DFT, PBE
State: relaxed

Structure (POSCAR):
```
LiCaAg
1.0
-3.6919 -2.3988 -1.1973
4.0250 -0.8762 -1.9621
0.8294 -2.7356 2.9230
Ca Ag Li
1 1 1
direct
0.6667 0.3333 0.3335
0.0000 0.0000 0.8334
0.3333 0.6667 0.8334
```


Q | Material: LiCaAg
Method: DFT, PBE
State: relaxed

Structure (POSCAR):
```
LiCaAg
1.0
4.9093 0.0000 0.0000
2.4546 4.2516 0.0000
2.4546 1.4172 4.0084
Ag Ca Li
1 1 1
direct
0.7500 0.7500 0.7500
0.0000 0.0000 0.0000
0.5000 0.5000 0.5000
```


R | Material: LiCaAg
Method: DFT, PBE
State: relaxed

Structure (POSCAR):
```
LiCaAg
1.0
4.9746 0.0000 0.0000
2.4873 4.3082 0.0000
2.4873 1.4361 4.0618
Ag Ca Li
1 1 1
direct
0.5000 0.5000 0.5000
0.7500 0.7500 0.7500
0.0000 0.0000 0.0000
```


Verdict on stability: R comes out at the bottom.


P | Material: LiCaAg
Method: DFT, PBE
State: relaxed

Structure (POSCAR):
```
LiCaAg
1.0
-3.1575 -0.8485 -2.8211
2.9399 -1.1718 -2.9380
-0.3381 -7.3068 2.5760
Li Ca Ag
2 2 2
direct
0.2500 0.7500 0.0000
0.7500 0.2500 0.0000
0.7500 0.7500 0.3473
0.2500 0.2500 0.6527
0.2500 0.2500 0.2323
0.7500 0.7500 0.7677
```


Q | Material: LiCaAg
Method: DFT, PBE
State: relaxed

Structure (POSCAR):
```
LiCaAg
1.0
-3.8699 -0.6040 2.0148
0.8452 -3.7204 5.3225
-0.6196 3.6030 4.7046
Li Ca Ag
2 2 2
direct
0.1864 0.9182 0.7090
0.8136 0.0818 0.2910
0.5643 0.6848 0.1866
0.4357 0.3152 0.8134
0.1521 0.3133 0.3825
0.8479 0.6867 0.6175
```


Verdict on stability: Q comes out at the bottom.


P | Material: Li2Ca2Ag3
Method: DFT, PBE
State: relaxed

Structure (POSCAR):
```
Li2Ca2Ag3
1.0
3.7288 0.0000 0.4949
0.0000 3.3694 0.0000
0.2886 0.0000 12.1217
Li Ca Ag
2 2 3
direct
0.7139 0.5000 0.5722
0.2861 0.5000 0.4278
0.5822 0.5000 0.8356
0.4178 0.5000 0.1644
0.8307 0.0000 0.3385
0.0000 0.0000 0.0000
0.1693 0.0000 0.6615
```


Q | Material: Li2Ca2Ag3
Method: DFT, PBE
State: relaxed

Structure (POSCAR):
```
Li2Ca2Ag3
1.0
-0.0030 3.1464 -2.9359
-4.9524 -0.3035 2.8338
5.2152 3.5907 3.8427
Li Ca Ag
2 2 3
direct
0.8596 0.7192 0.7816
0.1404 0.2808 0.2184
0.8630 0.7259 0.2427
0.1370 0.2741 0.7573
0.5000 0.0000 0.0000
0.6244 0.2489 0.4331
0.3756 0.7511 0.5669
```


Verdict on stability: P comes out at the bottom.


P | Material: LiCa4Ag2
Method: DFT, PBE
State: relaxed

Structure (POSCAR):
```
LiCa4Ag2
1.0
-2.2287 -4.4489 1.5339
-1.6588 -3.4374 -3.5420
7.0666 -6.7795 -0.5577
Li Ca Ag
1 4 2
direct
0.5000 0.5000 0.5000
0.7066 0.7066 0.8802
0.8812 0.8812 0.3564
0.2934 0.2934 0.1198
0.1188 0.1188 0.6436
0.5928 0.5928 0.2216
0.4072 0.4072 0.7784
```


Q | Material: LiCa4Ag2
Method: DFT, PBE
State: relaxed

Structure (POSCAR):
```
LiCa4Ag2
1.0
7.0497 0.0022 -2.3693
-2.5502 6.4219 -2.3515
0.0635 0.2290 9.2467
Li Ca Ag
2 8 4
direct
0.7447 0.3448 0.5353
0.9592 0.0597 0.9646
0.2027 0.7374 0.7787
0.7313 0.5183 0.8953
0.0160 0.4252 0.2935
0.5859 0.8729 0.6046
0.1725 0.9503 0.2984
0.6241 0.9019 0.2016
0.1741 0.2087 0.7214
0.4726 0.3817 0.2066
0.1777 0.5511 0.0372
0.6005 0.1184 0.9525
0.8905 0.7639 0.4628
0.3980 0.4157 0.5474
```


Verdict on stability: P comes out at the bottom.


P | Material: Li2CaMgAg
Method: DFT, PBE
State: relaxed

Structure (POSCAR):
```
Li2CaMgAg
1.0
5.0103 0.0000 0.0000
0.0000 5.0103 0.0000
0.0000 0.0000 5.1953
Ca Mg Ag Li
1 1 1 2
direct
0.5000 0.5000 0.5000
0.0000 0.0000 0.5000
0.0000 0.0000 0.0000
0.0000 0.5000 0.0000
0.5000 0.0000 0.0000
```


Q | Material: Li2CaMgAg
Method: DFT, PBE
State: relaxed

Structure (POSCAR):
```
Li2CaMgAg
1.0
4.2327 0.0000 0.0000
0.0000 4.3274 0.0000
-2.1163 -2.1637 6.4836
Li Ca Mg Ag
2 1 1 1
direct
0.7030 0.2030 0.4060
0.0439 0.0439 0.0878
0.4284 0.4284 0.8569
0.1963 0.6963 0.3925
0.8405 0.8405 0.6810
```


Verdict on stability: P comes out at the bottom.


P | Material: CaLu2Ag
Method: DFT, PBE
State: relaxed

Structure (POSCAR):
```
CaLu2Ag
1.0
-2.0925 -2.8331 0.3356
-0.2586 -2.3318 -2.6482
7.6722 -7.4659 3.4614
Ca Lu Ag
1 2 1
direct
0.0000 0.0000 0.0000
0.1002 0.1002 0.6993
0.8998 0.8998 0.3007
0.5000 0.5000 0.5000
```


Q | Material: CaLu2Ag
Method: DFT, PBE
State: relaxed

Structure (POSCAR):
```
CaLu2Ag
1.0
-1.4583 3.0148 -1.2184
-2.8291 -1.8346 -1.1534
-4.1385 1.2788 8.1173
Ca Lu Ag
1 2 1
direct
0.5000 0.5000 0.5000
0.0000 0.0000 0.8111
0.0000 0.0000 0.1889
0.5000 0.5000 0.0000
```


Verdict on stability: P comes out at the bottom.